1.
DFT (PBE-GGA) results for a relaxed structure of SrBi2P4.

```
SrBi2P4
1.0
-3.235 3.997 -1.991
-1.663 -3.360 -4.043
-7.925 -2.022 1.181
Bi P Sr
2 4 1
Direct
0.610 0.610 0.780
0.390 0.390 0.220
0.500 0.000 0.000
0.783 0.783 0.434
0.217 0.217 0.566
0.000 0.500 0.000
0.000 0.000 0.000
```

Summary:
Calculated density ... 4.7 g/cm³
Symmetry ... No. 139

2.
DFT (PBE-GGA) results for a relaxed structure of Sr4Bi2P.

```
Sr4Bi2P
1.0
-1.920 -1.092 6.873
5.500 -4.886 0.760
6.988 7.767 -0.641
Bi P Sr
4 2 8
Direct
0.716 0.750 0.545
0.279 0.250 0.939
0.284 0.250 0.455
0.721 0.750 0.061
0.129 0.750 0.158
0.871 0.250 0.842
0.530 0.495 0.755
0.067 0.750 0.868
0.103 0.750 0.426
0.897 0.250 0.574
0.530 0.005 0.755
0.933 0.250 0.132
0.470 0.505 0.245
0.470 0.995 0.245
```

Summary:
Calculated density ... 5.1 g/cm³
Symmetry ... No. 11
Excess energy over the best structure of this formula in the dataset ... 81 meV/atom

3.
DFT (PBE-GGA) results for a relaxed structure of SrBiP.

```
SrBiP
1.0
-5.284 -0.533 2.599
-3.665 -1.273 -4.589
1.004 -4.433 6.701
Bi P Sr
2 2 2
Direct
0.058 0.709 0.220
0.942 0.291 0.780
0.007 0.862 0.825
0.993 0.138 0.175
0.551 0.870 0.700
0.449 0.130 0.300
```

Summary:
Calculated density ... 5.8 g/cm³
Symmetry ... No. 2

4.
DFT (PBE-GGA) results for a relaxed structure of Sr4BiP2.

```
Sr4BiP2
1.0
-7.091 4.092 -1.576
1.345 -5.794 -5.842
-0.591 -3.715 7.440
Sr P Bi
8 4 2
Direct
0.249 0.493 0.103
0.389 0.146 0.897
0.861 0.257 0.257
0.001 0.604 0.743
0.854 0.751 0.243
0.396 0.139 0.397
0.743 0.999 0.603
0.507 0.611 0.757
0.504 0.875 0.129
0.746 0.375 0.871
0.625 0.496 0.371
0.125 0.254 0.629
0.000 0.000 0.000
0.250 0.750 0.500
```

Summary:
Calculated density ... 4.6 g/cm³
Symmetry ... No. 122

Record order is preserved below.
Energy relative to the elements: 15.97, -17.68, -12.87, -21.38 kcal/mol of atoms
Record order is preserved below.
VASP energy: -0.275, -0.265, -0.310, -0.293 Ry per atom
Record order is preserved below.
DOS(E_F): 7.954, 5.388, 1.723, 12.258 states/eV/cell